Entry 1:
First-principles (PBE+U) data for a relaxed structure of Li4Mn3FeP4O16, as listed in Alexandria.

Values from the calculation:
As for the space group: Cm. Its energy above the most stable polymorph in this dataset is 0.0 meV per atom. The calculation puts the total moment at 14.97 μB per formula unit.

Structure (POSCAR):
```
Li4Mn3FeP4O16
1.0
10.554 -6.148 0.000
10.554 6.148 0.000
-0.001 0.000 4.784
Li Mn Fe P O
8 6 2 8 32
Direct
0.123 0.877 0.000
0.125 0.373 0.504
0.373 0.125 0.504
0.373 0.625 0.002
0.625 0.373 0.002
0.625 0.876 0.506
0.876 0.625 0.506
0.877 0.123 0.000
0.108 0.609 0.029
0.358 0.860 0.478
0.389 0.389 0.528
0.609 0.108 0.029
0.640 0.640 0.980
0.860 0.358 0.478
0.140 0.140 0.974
0.891 0.891 0.530
0.046 0.046 0.412
0.201 0.705 0.589
0.294 0.294 0.092
0.452 0.954 0.918
0.545 0.545 0.414
0.705 0.201 0.589
0.797 0.797 0.096
0.954 0.452 0.918
0.020 0.316 0.788
0.022 0.521 0.794
0.049 0.049 0.733
0.065 0.771 0.718
0.181 0.980 0.276
0.201 0.702 0.267
0.226 0.226 0.213
0.229 0.430 0.225
0.267 0.570 0.723
0.269 0.773 0.713
0.297 0.297 0.770
0.316 0.020 0.788
0.430 0.229 0.225
0.452 0.952 0.239
0.477 0.477 0.291
0.479 0.680 0.281
0.518 0.819 0.784
0.521 0.022 0.794
0.547 0.547 0.735
0.570 0.267 0.723
0.680 0.479 0.281
0.702 0.201 0.267
0.728 0.728 0.215
0.731 0.932 0.232
0.771 0.065 0.718
0.773 0.269 0.713
0.799 0.799 0.775
0.819 0.518 0.784
0.932 0.731 0.232
0.952 0.452 0.239
0.977 0.977 0.294
0.980 0.181 0.276
```



Entry 2:
First-principles (PBE+U) data for a relaxed structure of Li6Mn3FeP6O24, as listed in Alexandria.

Values from the calculation:
As for the raw total energy: -6.871 eV per atom. As for the space group: P1. The calculation puts the total moment at 15.07 μB per formula unit.

Structure (POSCAR):
```
Li6Mn3FeP6O24
1.0
8.502 0.000 0.000
4.242 7.428 0.000
0.392 4.618 7.481
Li Mn Fe P O
6 3 1 6 24
Direct
0.000 0.000 0.000
0.030 0.894 0.713
0.067 0.459 0.474
0.457 0.774 0.516
0.533 0.087 0.276
0.573 0.799 0.968
0.073 0.186 0.369
0.391 0.559 0.297
0.869 0.566 0.777
0.587 0.155 0.903
0.207 0.626 0.609
0.269 0.063 0.094
0.457 0.093 0.564
0.690 0.372 0.083
0.776 0.361 0.595
0.954 0.692 0.054
0.011 0.687 0.649
0.024 0.496 0.243
0.103 0.251 0.937
0.104 0.734 0.978
0.212 0.586 0.452
0.215 0.821 0.559
0.250 0.147 0.549
0.252 0.869 0.150
0.279 0.089 0.258
0.363 0.433 0.777
0.465 0.006 0.058
0.466 0.270 0.394
0.520 0.069 0.737
0.556 0.542 0.131
0.577 0.534 0.474
0.583 0.893 0.554
0.619 0.235 0.093
0.688 0.506 0.884
0.776 0.207 0.784
0.809 0.882 0.075
0.842 0.682 0.928
0.871 0.473 0.606
0.891 0.226 0.207
0.900 0.212 0.527
```